LiCa2LaN | Alexandria | GGA-PBE | relaxed; E_form (uncorrected) = -2.12 eV/f.u.; SG = P4/mmm
1.0
5.1401 0.0000 0.0000
0.0000 5.1401 0.0000
0.0000 0.0000 4.9847
Li Ca La N
1 2 1 1
direct
0.0000 0.0000 0.0000
0.0000 0.5000 0.5000
0.5000 0.0000 0.5000
0.5000 0.5000 0.0000
0.5000 0.5000 0.5000

PuPtI | Alexandria | GGA-PBE | relaxed; E_form (uncorrected) = -2.55 eV/f.u.; SG = C2/m
1.0
5.6326 0.0000 0.0000
0.0000 5.6325 0.0000
-0.0299 0.0000 10.9640
Pu Pt I
4 4 4
direct
0.2489 0.0000 0.3071
0.2511 0.5000 0.6929
0.7489 0.5000 0.3071
0.7511 0.0000 0.6929
0.0000 0.2500 0.5000
0.0000 0.7500 0.5000
0.5000 0.2500 0.5000
0.5000 0.7500 0.5000
0.2481 0.5000 0.1564
0.2519 0.0000 0.8436
0.7481 0.0000 0.1564
0.7519 0.5000 0.8436

SbIr2F | Alexandria | GGA-PBE | relaxed; E_form (uncorrected) = -0.09 eV/f.u.; SG = Fm-3m; ΔE to the lowest computed polymorph = 0 meV/atom
1.0
6.2162 0.0000 0.0000
0.0000 6.2162 0.0000
0.0000 0.0000 6.2162
Sb Ir F
4 8 4
direct
0.0000 0.0000 0.0000
0.0000 0.5000 0.5000
0.5000 0.0000 0.5000
0.5000 0.5000 0.0000
0.2500 0.2500 0.2500
0.2500 0.2500 0.7500
0.2500 0.7500 0.2500
0.2500 0.7500 0.7500
0.7500 0.2500 0.2500
0.7500 0.2500 0.7500
0.7500 0.7500 0.2500
0.7500 0.7500 0.7500
0.0000 0.0000 0.5000
0.0000 0.5000 0.0000
0.5000 0.0000 0.0000
0.5000 0.5000 0.5000

Y2RhCl | Alexandria | GGA-PBE | relaxed; E_form (uncorrected) = -3.99 eV/f.u.; SG = P4/mmm; ΔE to the lowest computed polymorph = 161 meV/atom
1.0
4.0002 0.0000 0.0000
0.0000 4.0002 0.0000
0.0000 0.0000 5.7457
Y Rh Cl
2 1 1
direct
0.0000 0.0000 0.0000
0.5000 0.5000 0.5000
0.0000 0.0000 0.5000
0.5000 0.5000 0.0000

Hf2ZrOs | Alexandria | GGA-PBE | relaxed; energy relative to the elements = -328 meV per atom; SG = P4/mmm; ΔE to the lowest computed polymorph = 0 meV/atom
1.0
3.2639 0.0000 0.0000
0.0000 3.2639 0.0000
0.0000 0.0000 7.4661
Hf Zr Os
2 1 1
direct
0.0000 0.0000 0.2162
0.0000 0.0000 0.7838
0.5000 0.5000 0.5000
0.5000 0.5000 0.0000

PrCuAu2 | Alexandria | GGA-PBE | relaxed; energy relative to the elements = -401 meV per atom; SG = P4/mmm; ΔE to the lowest computed polymorph = 176 meV/atom
1.0
3.5337 0.0000 0.0000
0.0000 3.5337 0.0000
0.0000 0.0000 6.6339
Pr Cu Au
1 1 2
direct
0.0000 0.0000 0.0000
0.0000 0.0000 0.5000
0.5000 0.5000 0.2912
0.5000 0.5000 0.7088

HfAl2Tc2 | Alexandria | GGA-PBE | relaxed; energy relative to the elements = -379 meV per atom; SG = P4/mbm; ΔE to the lowest computed polymorph = 0 meV/atom
1.0
7.0605 0.0000 0.0000
0.0000 7.0605 0.0000
0.0000 0.0000 3.1707
Hf Al Tc
2 4 4
direct
0.0000 0.0000 0.0000
0.5000 0.5000 0.0000
0.1265 0.3735 0.0000
0.3735 0.8735 0.0000
0.6265 0.1265 0.0000
0.8735 0.6265 0.0000
0.1693 0.6693 0.5000
0.3307 0.1693 0.5000
0.6693 0.8307 0.5000
0.8307 0.3307 0.5000

LiTiPd2 | Alexandria | GGA-PBE | relaxed; energy relative to the elements = -395 meV per atom; SG = R-3m
1.0
2.9287 0.0000 0.0000
-1.4643 2.5363 0.0000
0.0000 0.0000 24.9297
Li Ti Pd
3 3 6
direct
0.0000 0.0000 0.0000
0.3333 0.6667 0.6667
0.6667 0.3333 0.3333
0.0000 0.0000 0.5000
0.3333 0.6667 0.1667
0.6667 0.3333 0.8333
0.0000 0.0000 0.2491
0.0000 0.0000 0.7509
0.3333 0.6667 0.4175
0.3333 0.6667 0.9158
0.6667 0.3333 0.0842
0.6667 0.3333 0.5825